A plane-wave DFT calculation with PBE was carried out for a geometry-optimized YCuH3 structure.

Properties
Size of the total moment   0.000 μB per atom
E_tot   -21.68 eV/cell
Crystal system   cubic
SG   No. 221

Cell: 3.6020 3.6020 3.6020 Å, 90.00 90.00 90.00°
Last column: nearest neighbours and their distance in Å.
Atoms (fractional coordinates):
Y 0.0000 0.0000 0.0000  12 H 2.55
Cu 0.5000 0.5000 0.5000  6 H 1.80
H 0.0000 0.5000 0.5000  2 Cu 1.80
H 0.5000 0.0000 0.5000  2 Cu 1.80
H 0.5000 0.5000 0.0000  2 Cu 1.80

A plane-wave DFT calculation with PBE was carried out for a geometry-optimized BeBiRuI2 structure.

Properties
Size of the total moment   0.198 μB per atom
E_tot   -15.55 eV/cell
Crystal system   tetragonal
SG   No. 123

Cell: 5.2572 5.2572 4.4004 Å, 90.00 90.00 90.00°
Last column: nearest neighbours and their distance in Å.
Atoms (fractional coordinates):
Be 0.0000 0.0000 0.0000  2 Ru 2.20
Bi 0.5000 0.5000 0.5000  8 I 3.43, 4 Ru 3.72
Ru 0.0000 0.0000 0.5000  2 Be 2.20
I 0.0000 0.5000 0.0000  2 Be 2.63
I 0.5000 0.0000 0.0000  2 Be 2.63

Question: Which of these has the highest size of the total moment?
Answer: BeBiRuI2